Fe2PtAu: relaxed, GGA-PBEsol.

Geometry as CIF:
```
data_Fe2PtAu
_chemical_formula_sum 'Fe2 Pt1 Au1'
_cell_length_a 2.910
_cell_length_b 2.910
_cell_length_c 6.504
_cell_angle_alpha 90.00
_cell_angle_beta 90.00
_cell_angle_gamma 90.00
_space_group_name_H-M_alt 'P 4 m m'
_space_group_IT_number 99
loop_
_space_group_symop_operation_xyz
'x,y,z'
'-y,x,z'
'-x,-y,z'
'y,-x,z'
'-x,y,z'
'y,x,z'
'x,-y,z'
'-y,-x,z'
loop_
_atom_site_label
_atom_site_type_symbol
_atom_site_fract_x
_atom_site_fract_y
_atom_site_fract_z
Fe1 Fe 0.000 0.000 0.000
Fe2 Fe 0.500 0.500 0.202
Pt1 Pt 0.000 0.000 0.439
Au1 Au 0.500 0.500 0.744
```

## Properties
Total energy: -7.170 eV/atom
E above lowest polymorph: 46.6 meV/atom
Magnetic moment: 5.87 μB/f.u.
Formation energy: 0.03 eV/atom

Fe2PtAu: relaxed, GGA-PBEsol.

Geometry as CIF:
```
data_Fe2PtAu
_chemical_formula_sum 'Fe8 Pt4 Au4'
_cell_length_a 6.075
_cell_length_b 6.075
_cell_length_c 6.075
_cell_angle_alpha 90.00
_cell_angle_beta 90.00
_cell_angle_gamma 90.00
_space_group_name_H-M_alt 'F -4 3 m'
_space_group_IT_number 216
_space_group_name_Hall 'F -4 2 3'
loop_
_atom_site_label
_atom_site_type_symbol
_atom_site_fract_x
_atom_site_fract_y
_atom_site_fract_z
Fe1 Fe 0.000 0.000 0.000
Fe2 Fe 0.250 0.250 0.250
Pt1 Pt 0.000 0.000 0.500
Au1 Au 0.250 0.250 0.750
```

## Properties
Total energy: -7.080 eV/atom
E above lowest polymorph: 135.9 meV/atom
Magnetic moment: 5.98 μB/f.u.
Formation energy: 0.12 eV/atom

Fe2PtAu: relaxed, GGA-PBEsol.

Geometry as CIF:
```
data_Fe2PtAu
_chemical_formula_sum 'Fe4 Pt2 Au2'
_cell_length_a 3.814
_cell_length_b 3.814
_cell_length_c 7.608
_cell_angle_alpha 90.00
_cell_angle_beta 90.00
_cell_angle_gamma 90.00
_space_group_name_H-M_alt 'I 4/m m m'
_space_group_IT_number 139
_space_group_name_Hall '-I 4 2'
loop_
_atom_site_label
_atom_site_type_symbol
_atom_site_fract_x
_atom_site_fract_y
_atom_site_fract_z
Fe1 Fe 0.000 0.500 0.250
Pt1 Pt 0.000 0.000 0.000
Au1 Au 0.000 0.000 0.500
```

## Properties
Total energy: -7.199 eV/atom
E above lowest polymorph: 17.6 meV/atom
Magnetic moment: 6.30 μB/f.u.
Formation energy: 0.00 eV/atom

Fe2PtAu: relaxed, GGA-PBEsol.

Geometry as CIF:
```
data_Fe2PtAu
_chemical_formula_sum 'Fe2 Pt1 Au1'
_cell_length_a 2.697
_cell_length_b 4.352
_cell_length_c 4.681
_cell_angle_alpha 90.00
_cell_angle_beta 90.00
_cell_angle_gamma 90.00
_space_group_name_H-M_alt 'P m m 2'
_space_group_IT_number 25
loop_
_space_group_symop_operation_xyz
'x,y,z'
'-x,-y,z'
'-x,y,z'
'x,-y,z'
loop_
_atom_site_label
_atom_site_type_symbol
_atom_site_fract_x
_atom_site_fract_y
_atom_site_fract_z
Fe1 Fe 0.000 0.000 0.000
Fe2 Fe 0.000 0.500 0.331
Pt1 Pt 0.500 0.500 0.850
Au1 Au 0.500 0.000 0.491
```

## Properties
Total energy: -7.204 eV/atom
E above lowest polymorph: 12.7 meV/atom
Magnetic moment: 5.97 μB/f.u.
Formation energy: 0.00 eV/atom

Fe6PtAu: relaxed, GGA-PBEsol.

Geometry as CIF:
```
data_Fe6PtAu
_chemical_formula_sum 'Fe48 Pt8 Au8'
_cell_length_a 7.363
_cell_length_b 10.440
_cell_length_c 10.440
_cell_angle_alpha 90.00
_cell_angle_beta 90.00
_cell_angle_gamma 90.00
_space_group_name_H-M_alt 'C m m m'
_space_group_IT_number 65
_space_group_name_Hall '-C 2 2'
loop_
_atom_site_label
_atom_site_type_symbol
_atom_site_fract_x
_atom_site_fract_y
_atom_site_fract_z
Fe1 Fe 0.000 0.000 0.000
Fe2 Fe 0.000 0.000 0.500
Fe3 Fe 0.000 0.249 0.248
Fe4 Fe 0.000 0.500 0.000
Fe5 Fe 0.000 0.500 0.500
Fe6 Fe 0.247 0.125 0.124
Fe7 Fe 0.248 0.125 0.374
Pt1 Pt 0.000 0.000 0.250
Pt2 Pt 0.000 0.252 0.000
Au1 Au 0.000 0.252 0.500
Au2 Au 0.000 0.500 0.249
```

## Properties
Total energy: -8.015 eV/atom
Magnetic moment: 15.96 μB/f.u.
Formation energy: 0.07 eV/atom

Fe2PtAu: relaxed, GGA-PBEsol.

Geometry as CIF:
```
data_Fe2PtAu
_chemical_formula_sum 'Fe2 Pt1 Au1'
_cell_length_a 2.714
_cell_length_b 3.786
_cell_length_c 5.394
_cell_angle_alpha 90.00
_cell_angle_beta 90.00
_cell_angle_gamma 90.00
_space_group_name_H-M_alt 'P m m m'
_space_group_IT_number 47
loop_
_space_group_symop_operation_xyz
'x,y,z'
'-x,-y,-z'
'-x,-y,z'
'x,y,-z'
'x,-y,-z'
'-x,y,z'
'-x,y,-z'
'x,-y,z'
loop_
_atom_site_label
_atom_site_type_symbol
_atom_site_fract_x
_atom_site_fract_y
_atom_site_fract_z
Fe1 Fe 0.000 0.000 0.235
Pt1 Pt 0.500 0.500 0.000
Au1 Au 0.500 0.500 0.500
```

## Properties
Total energy: -7.216 eV/atom
E above lowest polymorph: 0.0 meV/atom
Magnetic moment: 6.21 μB/f.u.
Formation energy: -0.01 eV/atom

Fe2PtAu: relaxed, GGA-PBEsol.

Geometry as CIF:
```
data_Fe2PtAu
_chemical_formula_sum 'Fe4 Pt2 Au2'
_cell_length_a 8.976
_cell_length_b 2.741
_cell_length_c 4.634
_cell_angle_alpha 90.00
_cell_angle_beta 104.43
_cell_angle_gamma 90.00
_space_group_name_H-M_alt 'C 1 m 1'
_space_group_IT_number 8
loop_
_space_group_symop_operation_xyz
'x,y,z'
'x,-y,z'
'x+1/2,y+1/2,z'
'x+1/2,-y+1/2,z'
loop_
_atom_site_label
_atom_site_type_symbol
_atom_site_fract_x
_atom_site_fract_y
_atom_site_fract_z
Fe1 Fe 0.000 0.000 0.000
Fe2 Fe 0.223 0.500 0.264
Pt1 Pt 0.249 0.000 0.790
Au1 Au 0.480 0.000 0.486
```

## Properties
Total energy: -7.197 eV/atom
E above lowest polymorph: 18.9 meV/atom
Magnetic moment: 6.02 μB/f.u.
Formation energy: 0.01 eV/atom

Fe3ReAu: relaxed, GGA-PBEsol.

Geometry as CIF:
```
data_Fe3ReAu
_chemical_formula_sum 'Fe3 Re1 Au1'
_cell_length_a 4.385
_cell_length_b 4.385
_cell_length_c 4.385
_cell_angle_alpha 90.00
_cell_angle_beta 90.00
_cell_angle_gamma 90.00
_space_group_name_H-M_alt 'P m -3 m'
_space_group_IT_number 221
_space_group_name_Hall '-P 4 2 3'
loop_
_atom_site_label
_atom_site_type_symbol
_atom_site_fract_x
_atom_site_fract_y
_atom_site_fract_z
Fe1 Fe 0.000 0.000 0.500
Re1 Re 0.000 0.000 0.000
Au1 Au 0.500 0.500 0.500
```

## Properties
Total energy: -7.276 eV/atom
Magnetic moment: 4.66 μB/f.u.
Formation energy: 1.55 eV/atom

FeReAu: relaxed, GGA-PBEsol.

Geometry as CIF:
```
data_FeReAu
_chemical_formula_sum 'Fe4 Re4 Au4'
_cell_length_a 3.162
_cell_length_b 4.235
_cell_length_c 12.944
_cell_angle_alpha 90.00
_cell_angle_beta 90.00
_cell_angle_gamma 90.00
_space_group_name_H-M_alt 'F m m 2'
_space_group_IT_number 42
_space_group_name_Hall 'F 2 -2'
loop_
_atom_site_label
_atom_site_type_symbol
_atom_site_fract_x
_atom_site_fract_y
_atom_site_fract_z
Fe1 Fe 0.000 0.000 0.000
Re1 Re 0.000 0.000 0.351
Au1 Au 0.000 0.000 0.666
```

## Properties
Total energy: -8.382 eV/atom
Magnetic moment: 2.56 μB/f.u.
Formation energy: 0.36 eV/atom

Fe2ReAu: relaxed, GGA-PBEsol.

Geometry as CIF:
```
data_Fe2ReAu
_chemical_formula_sum 'Fe8 Re4 Au4'
_cell_length_a 5.947
_cell_length_b 5.947
_cell_length_c 5.947
_cell_angle_alpha 90.00
_cell_angle_beta 90.00
_cell_angle_gamma 90.00
_space_group_name_H-M_alt 'F m -3 m'
_space_group_IT_number 225
_space_group_name_Hall '-F 4 2 3'
loop_
_atom_site_label
_atom_site_type_symbol
_atom_site_fract_x
_atom_site_fract_y
_atom_site_fract_z
Fe1 Fe 0.250 0.250 0.250
Re1 Re 0.000 0.000 0.000
Au1 Au 0.000 0.000 0.500
```

## Properties
Total energy: -8.425 eV/atom
Magnetic moment: 3.67 μB/f.u.
Formation energy: 0.37 eV/atom

FeRe2AuS: relaxed, GGA-PBEsol.

Geometry as CIF:
```
data_FeRe2AuS
_chemical_formula_sum 'Fe1 Re2 Au1 S1'
_cell_length_a 4.306
_cell_length_b 4.306
_cell_length_c 4.554
_cell_angle_alpha 90.00
_cell_angle_beta 90.00
_cell_angle_gamma 90.00
_space_group_name_H-M_alt 'P 4/m m m'
_space_group_IT_number 123
_space_group_name_Hall '-P 4 2'
loop_
_atom_site_label
_atom_site_type_symbol
_atom_site_fract_x
_atom_site_fract_y
_atom_site_fract_z
Fe1 Fe 0.000 0.000 0.000
Re1 Re 0.000 0.500 0.500
Au1 Au 0.500 0.500 0.000
S1 S 0.500 0.500 0.500
```

## Properties
Total energy: -7.447 eV/atom
ΔE_f (raw): 6.702 eV per formula unit
Magnetic moment: 2.63 μB/f.u.

FeReAuSe2: relaxed, GGA-PBEsol.

Geometry as CIF:
```
data_FeReAuSe2
_chemical_formula_sum 'Fe1 Re1 Au1 Se2'
_cell_length_a 4.904
_cell_length_b 4.904
_cell_length_c 5.057
_cell_angle_alpha 90.00
_cell_angle_beta 90.00
_cell_angle_gamma 90.00
_space_group_name_H-M_alt 'P 4/m m m'
_space_group_IT_number 123
_space_group_name_Hall '-P 4 2'
loop_
_atom_site_label
_atom_site_type_symbol
_atom_site_fract_x
_atom_site_fract_y
_atom_site_fract_z
Fe1 Fe 0.000 0.000 0.000
Re1 Re 0.500 0.500 0.000
Au1 Au 0.500 0.500 0.500
Se1 Se 0.000 0.500 0.500
```

## Properties
Total energy: -4.800 eV/atom
ΔE_f (raw): 9.921 eV per formula unit
Magnetic moment: 7.05 μB/f.u.